# 1
YNb3Pd | Alexandria | PBE-GGA | optimized geometry; energy relative to the lowest polymorph listed for this composition = 1150 meV per atom; density = 6.8 g/cm3
1.0
4.8850 0.0000 0.0000
0.0000 4.8850 0.0000
0.0000 0.0000 4.8850
Y Nb Pd
1 3 1
Cartesian
0.0000 0.0000 0.0000
0.0000 0.0000 2.4425
0.0000 2.4425 0.0000
2.4425 0.0000 0.0000
2.4425 2.4425 2.4425


# 2
YNb2Pd | Alexandria | PBE-GGA | optimized geometry; energy relative to the lowest polymorph listed for this composition = 99 meV per atom; density = 8.3 g/cm3
1.0
0.0000 3.3639 3.3639
3.3639 0.0000 3.3639
3.3639 3.3639 0.0000
Y Nb Pd
1 2 1
Cartesian
0.0000 0.0000 0.0000
1.6820 1.6820 1.6820
5.0459 5.0459 5.0459
3.3639 3.3639 3.3639


# 3
YNb3Pd | Alexandria | PBE-GGA | optimized geometry; energy relative to the lowest polymorph listed for this composition = 0 meV per atom; density = 6.5 g/cm3
1.0
4.9412 0.0000 0.0000
0.0000 4.9412 0.0000
0.0000 0.0000 4.9412
Y Nb Pd
1 3 1
Cartesian
0.0000 0.0000 0.0000
0.0000 2.4706 2.4706
2.4706 0.0000 2.4706
2.4706 2.4706 0.0000
2.4706 2.4706 2.4706


# 4
Y3NbPd | Alexandria | PBE-GGA | optimized geometry; energy relative to the lowest polymorph listed for this composition = 0 meV per atom; density = 5.2 g/cm3
1.0
5.3124 0.0000 0.0000
0.0000 5.3124 0.0000
0.0000 0.0000 5.3124
Y Nb Pd
3 1 1
Cartesian
0.0000 0.0000 2.6562
0.0000 2.6562 0.0000
2.6562 0.0000 0.0000
2.6562 2.6562 2.6562
0.0000 0.0000 0.0000


# 5
YNb2Pd9 | Alexandria | PBE-GGA | optimized geometry; density = 10.4 g/cm3; total DFT energy (no corrections) = -0.487 Ry per atom
1.0
4.0245 0.0000 0.0000
0.0000 4.0245 0.0000
0.0000 0.0000 12.1205
Y Nb Pd
1 2 9
Cartesian
0.0000 0.0000 0.0000
0.0000 0.0000 4.0526
0.0000 0.0000 8.0678
0.0000 2.0123 2.1665
0.0000 2.0123 6.0602
0.0000 2.0123 9.9540
2.0123 0.0000 2.1665
2.0123 0.0000 6.0602
2.0123 0.0000 9.9540
2.0123 2.0123 0.0000
2.0123 2.0123 4.1156
2.0123 2.0123 8.0049


# 6
YNbZnPd2 | Alexandria | PBE-GGA | optimized geometry; density = 7.2 g/cm3; total DFT energy (no corrections) = -0.394 Ry per atom
1.0
4.7017 0.0000 0.0000
0.0000 4.7017 0.0000
0.0000 0.0000 4.8209
Y Nb Zn Pd
1 1 1 2
Cartesian
0.0000 0.0000 0.0000
2.3508 2.3508 0.0000
2.3508 2.3508 2.4105
0.0000 2.3508 2.4105
2.3508 0.0000 2.4105


# 7
NbZnPd14 | Alexandria | PBE-GGA | optimized geometry; density = 11.1 g/cm3; total DFT energy (no corrections) = -0.401 Ry per atom
1.0
5.6311 0.0000 0.0000
0.0000 5.6311 0.0000
0.0000 0.0000 7.7596
Nb Zn Pd
1 1 14
Cartesian
0.0000 0.0000 0.0000
2.8155 2.8155 0.0000
0.0000 0.0000 3.8798
0.0000 2.8155 0.0000
0.0000 2.8155 3.8798
1.4021 1.4021 1.8929
1.4021 1.4021 5.8667
1.4021 4.2290 1.8929
1.4021 4.2290 5.8667
2.8155 0.0000 0.0000
2.8155 0.0000 3.8798
2.8155 2.8155 3.8798
4.2290 1.4021 1.8929
4.2290 1.4021 5.8667
4.2290 4.2290 1.8929
4.2290 4.2290 5.8667


# 8
NbZn2Pd | Alexandria | PBE-GGA | optimized geometry; density = 8.1 g/cm3; total DFT energy (no corrections) = -0.314 Ry per atom
1.0
-3.5453 3.5453 2.6873
3.5453 -3.5453 2.6873
3.5453 3.5453 -2.6873
Nb Zn Pd
2 4 2
Cartesian
0.0000 0.0000 0.0000
0.0000 3.5453 1.3437
1.7727 -1.6537 2.0155
1.8916 1.7727 0.6718
1.7727 5.1991 -0.6718
1.6537 1.7727 3.3591
3.5453 0.0000 1.3437
0.0000 0.0000 2.6873


# 9
NbZnPd5 | Alexandria | PBE-GGA | optimized geometry; energy relative to the lowest polymorph listed for this composition = 299 meV per atom; density = 9.3 g/cm3
1.0
4.5826 -5.4946 0.0000
4.5826 5.4946 0.0000
-4.2529 0.0000 4.9120
Nb Zn Pd
2 2 10
Cartesian
1.3930 5.1025 3.6840
3.5194 -5.1025 1.2280
4.5826 0.0000 0.0000
2.4562 0.0000 2.4560
-1.2500 1.4470 3.5673
1.2745 1.4590 0.8326
1.3930 2.3477 3.6840
0.8764 -1.4470 1.1113
-0.8519 -1.4590 3.2886
5.7643 1.4590 1.6234
4.0359 1.4470 3.8007
3.5194 -2.3477 1.2280
3.6378 -1.4590 4.0794
6.1624 -1.4470 1.3447


# 10
NbZnPd5 | Alexandria | PBE-GGA | optimized geometry; energy relative to the lowest polymorph listed for this composition = 0 meV per atom; density = 10.1 g/cm3
1.0
4.0162 0.0000 0.0000
0.0000 4.0162 0.0000
0.0000 0.0000 7.0038
Nb Zn Pd
1 1 5
Cartesian
0.0000 0.0000 0.0000
2.0081 2.0081 3.5019
0.0000 2.0081 1.9081
0.0000 2.0081 5.0958
2.0081 0.0000 1.9081
2.0081 0.0000 5.0958
2.0081 2.0081 0.0000


# 11
NbZn2Pd8 | Alexandria | PBE-GGA | optimized geometry; density = 10.6 g/cm3; total DFT energy (no corrections) = -0.390 Ry per atom
1.0
7.0164 -2.0083 0.0000
7.0164 2.0083 0.0000
-1.8754 0.0000 5.9571
Nb Zn Pd
1 2 8
Cartesian
0.0000 0.0000 0.0000
3.2459 0.0000 2.1127
8.9115 0.0000 3.8444
0.5227 0.0000 2.7224
0.8064 0.0000 5.4963
3.5305 0.0000 4.8171
5.9042 0.0000 1.6106
6.2532 0.0000 4.3465
8.6269 0.0000 1.1400
11.3510 0.0000 0.4607
11.6348 0.0000 3.2347


# 12
Nb2ZnPd2 | Alexandria | PBE-GGA | optimized geometry; energy relative to the lowest polymorph listed for this composition = 107 meV per atom; density = 8.7 g/cm3
1.0
7.8769 0.0000 0.0000
0.0000 7.8769 0.0000
0.0000 0.0000 2.8522
Nb Zn Pd
4 2 4
Cartesian
1.3427 2.5958 0.0000
2.5958 6.5342 0.0000
5.2811 1.3427 0.0000
6.5342 5.2811 0.0000
0.0000 0.0000 0.0000
3.9385 3.9385 0.0000
0.9849 4.9233 1.4261
2.9536 0.9849 1.4261
4.9233 6.8920 1.4261
6.8920 2.9536 1.4261


# 13
NbZnPd6 | Alexandria | PBE-GGA | optimized geometry; density = 10.8 g/cm3; total DFT energy (no corrections) = -0.422 Ry per atom
1.0
3.9614 0.0000 0.0000
0.0000 3.9614 0.0000
0.0000 0.0000 7.8212
Nb Zn Pd
1 1 6
Cartesian
0.0000 0.0000 0.0000
0.0000 0.0000 3.9106
0.0000 1.9807 1.9394
0.0000 1.9807 5.8818
1.9807 0.0000 1.9394
1.9807 0.0000 5.8818
1.9807 1.9807 0.0000
1.9807 1.9807 3.9106


# 14
NbZnPd2 | Alexandria | PBE-GGA | optimized geometry; density = 9.0 g/cm3; total DFT energy (no corrections) = -0.390 Ry per atom
1.0
-3.5264 3.5264 2.7523
3.5264 -3.5264 2.7523
3.5264 3.5264 -2.7523
Nb Zn Pd
2 2 4
Cartesian
0.0000 0.0000 0.0000
0.0000 3.5264 1.3762
3.5264 0.0000 1.3762
0.0000 0.0000 2.7523
1.7632 -1.6889 2.0642
1.8375 1.7632 0.6881
1.7632 5.2153 -0.6881
1.6889 1.7632 3.4404


# 15
NbZn3Pd12 | Alexandria | PBE-GGA | optimized geometry; density = 10.7 g/cm3; total DFT energy (no corrections) = -0.376 Ry per atom
1.0
3.9421 0.0000 0.0000
0.0000 3.9421 0.0000
0.0000 0.0000 15.6340
Nb Zn Pd
1 3 12
Cartesian
0.0000 0.0000 0.0000
0.0000 0.0000 3.9903
0.0000 0.0000 7.8170
0.0000 0.0000 11.6437
0.0000 1.9711 1.9510
0.0000 1.9711 5.8852
0.0000 1.9711 9.7488
0.0000 1.9711 13.6830
1.9711 0.0000 1.9510
1.9711 0.0000 5.8852
1.9711 0.0000 9.7488
1.9711 0.0000 13.6830
1.9711 1.9711 0.0000
1.9711 1.9711 3.9140
1.9711 1.9711 7.8170
1.9711 1.9711 11.7200


# 16
NbZnPd2 | Alexandria | PBE-GGA | optimized geometry; density = 10.0 g/cm3; total DFT energy (no corrections) = -0.432 Ry per atom
1.0
2.8671 0.0000 0.0000
0.0000 2.8671 0.0000
0.0000 0.0000 7.5219
Nb Zn Pd
1 1 2
Cartesian
0.0000 0.0000 0.0000
0.0000 0.0000 3.7609
1.4335 1.4335 2.0083
1.4335 1.4335 5.5135


# 17
NbZn2Pd | Alexandria | PBE-GGA | optimized geometry; density = 8.7 g/cm3; total DFT energy (no corrections) = -0.336 Ry per atom
1.0
3.9544 0.0000 0.0000
0.0000 3.9544 0.0000
0.0000 0.0000 4.0279
Nb Zn Pd
1 2 1
Cartesian
0.0000 0.0000 0.0000
0.0000 1.9772 2.0139
1.9772 0.0000 2.0139
1.9772 1.9772 0.0000


# 18
NbZnPd2 | Alexandria | PBE-GGA | optimized geometry; density = 9.6 g/cm3; total DFT energy (no corrections) = -0.418 Ry per atom
1.0
4.7432 0.0000 0.0000
0.0000 4.7432 0.0000
0.0000 0.0000 2.8390
Nb Zn Pd
1 1 2
Cartesian
0.0000 0.0000 0.0000
2.3716 2.3716 0.0000
0.0000 2.3716 1.4195
2.3716 0.0000 1.4195


# 19
NbZn3Pd2 | Alexandria | PBE-GGA | optimized geometry; density = 9.2 g/cm3; total DFT energy (no corrections) = -0.325 Ry per atom
1.0
2.9716 0.0000 0.0000
0.0000 2.9716 0.0000
0.0000 0.0000 10.2140
Nb Zn Pd
1 3 2
Cartesian
0.0000 0.0000 0.0000
1.4858 1.4858 1.8856
1.4858 1.4858 5.1070
1.4858 1.4858 8.3284
0.0000 0.0000 3.5050
0.0000 0.0000 6.7091


# 20
NbZn2Pd3 | Alexandria | PBE-GGA | optimized geometry; density = 9.9 g/cm3; total DFT energy (no corrections) = -0.381 Ry per atom
1.0
2.8769 0.0000 0.0000
0.0000 2.8769 0.0000
0.0000 0.0000 10.9541
Nb Zn Pd
1 2 3
Cartesian
0.0000 0.0000 0.0000
0.0000 0.0000 3.7491
0.0000 0.0000 7.2050
1.4385 1.4385 2.0056
1.4385 1.4385 5.4771
1.4385 1.4385 8.9485


# 21
NbZn2Pd | Alexandria | PBE-GGA | optimized geometry; density = 8.2 g/cm3; total DFT energy (no corrections) = -0.318 Ry per atom
1.0
1.4094 0.8137 9.7505
-1.4094 0.8137 9.7505
0.0000 -1.6275 9.7505
Nb Zn Pd
1 2 1
Cartesian
0.0000 0.0000 0.0000
0.0000 0.0000 2.7737
0.0000 0.0000 26.4777
0.0000 0.0000 14.6257


# 22
NbZn2Pd | Alexandria | PBE-GGA | optimized geometry; density = 8.6 g/cm3; total DFT energy (no corrections) = -0.337 Ry per atom
1.0
1.4426 0.8329 8.8187
-1.4426 0.8329 8.8187
0.0000 -1.6658 8.8187
Nb Zn Pd
1 2 1
Cartesian
0.0000 0.0000 0.0000
0.0000 0.0000 6.4689
0.0000 0.0000 11.1702
0.0000 0.0000 22.0442


# 23
NbZnPd2 | Alexandria | PBE-GGA | optimized geometry; density = 9.7 g/cm3; total DFT energy (no corrections) = -0.421 Ry per atom
1.0
1.4425 0.8328 8.7669
-1.4425 0.8328 8.7669
0.0000 -1.6657 8.7669
Nb Zn Pd
1 1 2
Cartesian
0.0000 0.0000 0.0000
0.0000 0.0000 4.3810
0.0000 0.0000 11.0617
0.0000 0.0000 15.2325


# 24
NbZn2Pd | Alexandria | PBE-GGA | optimized geometry; density = 8.9 g/cm3; total DFT energy (no corrections) = -0.347 Ry per atom
1.0
2.8895 0.0000 0.0000
0.0000 2.8895 0.0000
0.0000 0.0000 7.3792
Nb Zn Pd
1 2 1
Cartesian
0.0000 0.0000 0.0000
1.4448 1.4448 1.9813
1.4448 1.4448 5.3979
0.0000 0.0000 3.6896


# 25
Nb2ZnPd2 | Alexandria | PBE-GGA | optimized geometry; energy relative to the lowest polymorph listed for this composition = 0 meV per atom; density = 8.9 g/cm3
1.0
7.7313 0.0000 0.0000
0.0000 7.7313 0.0000
0.0000 0.0000 2.8947
Nb Zn Pd
4 2 4
Cartesian
1.3376 2.5281 0.0000
2.5281 6.3937 0.0000
5.2032 1.3376 0.0000
6.3937 5.2032 0.0000
0.0000 0.0000 1.4473
3.8656 3.8656 1.4473
0.9586 4.8242 1.4473
2.9070 0.9586 1.4473
4.8242 6.7727 1.4473
6.7727 2.9070 1.4473